{"formula": "SrCoNiS3", "functional": "PBE", "state": "relaxed", "lattice_angstrom": [[1.861, -6.332, 0.000], [1.861, 6.332, 0.000], [0.000, 0.000, 9.053]], "species": ["Sr", "Sr", "Co", "Co", "Ni", "Ni", "S", "S", "S", "S", "S", "S"], "frac_coords": [[0.248, 0.752, 0.750], [0.752, 0.248, 0.250], [0.029, 0.971, 0.250], [0.971, 0.029, 0.750], [0.500, 0.500, 0.000], [0.500, 0.500, 0.500], [0.127, 0.873, 0.047], [0.127, 0.873, 0.453], [0.440, 0.560, 0.250], [0.560, 0.440, 0.750], [0.873, 0.127, 0.547], [0.873, 0.127, 0.953]], "spacegroup": "Cmcm", "e_above_lowest_polymorph_ev_per_fu": 0.10}

{"formula": "TlCoNiS3", "functional": "PBE", "state": "relaxed", "lattice_angstrom": [[1.712, -6.945, 0.000], [1.712, 6.945, 0.000], [0.000, 0.000, 9.350]], "species": ["Tl", "Tl", "Co", "Co", "Ni", "Ni", "S", "S", "S", "S", "S", "S"], "frac_coords": [[0.245, 0.755, 0.750], [0.755, 0.245, 0.250], [0.000, 0.000, 0.000], [0.000, 0.000, 0.500], [0.457, 0.543, 0.250], [0.543, 0.457, 0.750], [0.054, 0.946, 0.250], [0.393, 0.607, 0.035], [0.393, 0.607, 0.465], [0.607, 0.393, 0.535], [0.607, 0.393, 0.965], [0.946, 0.054, 0.750]], "spacegroup": "Cmcm"}

{"formula": "Co2Ni2Sb", "functional": "PBE", "state": "relaxed", "lattice_angstrom": [[7.630, 0.000, 0.000], [0.000, 7.630, 0.000], [0.000, 0.000, 2.623]], "species": ["Co", "Co", "Co", "Co", "Ni", "Ni", "Ni", "Ni", "Sb", "Sb"], "frac_coords": [[0.107, 0.393, 0.000], [0.393, 0.893, 0.000], [0.607, 0.107, 0.000], [0.893, 0.607, 0.000], [0.186, 0.686, 0.000], [0.314, 0.186, 0.000], [0.686, 0.814, 0.000], [0.814, 0.314, 0.000], [0.000, 0.000, 0.500], [0.500, 0.500, 0.500]], "spacegroup": "P4/mbm"}

{"formula": "CoNiSb4", "functional": "PBE", "state": "relaxed", "lattice_angstrom": [[5.467, 0.000, 0.000], [0.000, 3.598, 0.000], [0.000, 0.000, 6.363]], "species": ["Co", "Ni", "Sb", "Sb", "Sb", "Sb"], "frac_coords": [[0.000, 0.000, 0.000], [0.500, 0.500, 0.500], [0.205, 0.000, 0.645], [0.289, 0.500, 0.138], [0.711, 0.500, 0.862], [0.795, 0.000, 0.355]], "spacegroup": "P2/m"}

{"formula": "TaCoNiSb", "functional": "PBE", "state": "relaxed", "lattice_angstrom": [[0.000, 3.116, 3.116], [3.116, 0.000, 3.116], [3.116, 3.116, 0.000]], "species": ["Ta", "Co", "Ni", "Sb"], "frac_coords": [[0.000, 0.000, 0.000], [0.750, 0.750, 0.750], [0.500, 0.500, 0.500], [0.250, 0.250, 0.250]], "spacegroup": "F-43m", "e_above_lowest_polymorph_ev_per_fu": 0.84}

{"formula": "TaCoNiSb", "functional": "PBE", "state": "relaxed", "lattice_angstrom": [[0.000, 3.116, 3.116], [3.116, 0.000, 3.116], [3.116, 3.116, 0.000]], "species": ["Ta", "Co", "Ni", "Sb"], "frac_coords": [[0.000, 0.000, 0.000], [0.500, 0.500, 0.500], [0.750, 0.750, 0.750], [0.250, 0.250, 0.250]], "spacegroup": "F-43m", "e_above_lowest_polymorph_ev_per_fu": 0.87}

{"formula": "TaCoNiSb", "functional": "PBE", "state": "relaxed", "lattice_angstrom": [[0.000, 3.082, 3.082], [3.082, 0.000, 3.082], [3.082, 3.082, 0.000]], "species": ["Ta", "Co", "Ni", "Sb"], "frac_coords": [[0.000, 0.000, 0.000], [0.750, 0.750, 0.750], [0.250, 0.250, 0.250], [0.500, 0.500, 0.500]], "spacegroup": "F-43m", "e_above_lowest_polymorph_ev_per_fu": 0.00}

{"formula": "YCoNiSb", "functional": "PBE", "state": "relaxed", "lattice_angstrom": [[0.000, 3.308, 3.308], [3.308, 0.000, 3.308], [3.308, 3.308, 0.000]], "species": ["Y", "Co", "Ni", "Sb"], "frac_coords": [[0.000, 0.000, 0.000], [0.500, 0.500, 0.500], [0.750, 0.750, 0.750], [0.250, 0.250, 0.250]], "spacegroup": "F-43m", "e_above_lowest_polymorph_ev_per_fu": 1.31}

Number 1: electronic total energy -5.187 eV/atom. Number 2: electronic total energy -4.823 eV/atom. Number 3: electronic total energy -5.136 eV/atom. Number 4: electronic total energy -5.046 eV/atom. Number 5: electronic total energy -6.978 eV/atom. Number 6: electronic total energy -6.972 eV/atom. Number 7: electronic total energy -7.188 eV/atom. Number 8: electronic total energy -5.817 eV/atom.